Arrangement one

LaCeIr2 (PBE, relaxed); space-group type = R-3m
1.0
-1.8394 0.2812 -4.2005
-4.4961 -0.7348 -0.5927
-3.0314 4.8787 -0.8584
La Ir Ce
1 2 1
Cartesian
0.0000 0.0000 0.0000 La
-6.9452 2.8814 -4.3030 Ir
-2.4217 1.5436 -1.3486 Ir
-4.6835 2.2125 -2.8258 Ce



Arrangement two

LaCeIr2 (PBE, relaxed); space-group type = P2/c
1.0
5.5805 0.0000 -1.2972
0.0000 5.7864 0.0000
-0.0393 0.0000 11.4667
Ir La Ce
8 4 4
Cartesian
0.3655 5.0544 4.5016 Ir
5.1425 2.0399 -0.2576 Ir
2.4051 5.0544 0.5831 Ir
2.3326 3.7465 6.1244 Ir
5.1757 0.7320 5.6678 Ir
3.1362 0.7320 9.5863 Ir
0.3988 3.7465 10.4270 Ir
3.2087 2.0399 4.0451 Ir
3.0380 3.6480 9.1149 La
5.2739 3.6480 6.1392 La
0.2674 2.1385 4.0302 La
2.5032 2.1385 1.0545 La
2.4615 0.7389 6.7369 Ce
5.2714 5.0475 0.3549 Ce
3.0798 5.0475 3.4326 Ce
0.2699 0.7389 9.8145 Ce



Referenced to the most stable arrangement, the calculated values in eV/atom are arrangement one 0.063; arrangement two 0.000.



Arrangement one

LaCeIr2 (PBE, relaxed); space-group type = Fm-3m
1.0
5.0152 0.0000 0.0000
2.5076 4.3433 0.0000
2.5076 1.4478 4.0949
Ir La Ce
2 1 1
Cartesian
2.5076 1.4478 1.0237 Ir
7.5228 4.3433 3.0712 Ir
0.0000 0.0000 0.0000 La
5.0152 2.8955 2.0475 Ce



Arrangement two

LaCeIr2 (PBE, relaxed); space-group type = P2_1/c
1.0
7.4864 0.0000 -0.0037
0.0000 5.8432 0.0000
0.0142 0.0000 8.4719
Ir La Ce
8 4 4
Cartesian
7.1173 0.8924 7.2749 Ir
4.1899 3.9302 5.1796 Ir
0.4467 4.8347 5.1815 Ir
0.3833 4.9509 1.1933 Ir
7.0538 1.0086 3.2867 Ir
3.3741 2.0292 7.2767 Ir
3.3106 1.9131 3.2886 Ir
4.1265 3.8140 1.1914 Ir
6.1753 3.7761 7.4032 La
1.3253 2.0672 1.0650 La
2.4321 4.9888 7.4050 La
5.0685 0.8544 1.0632 La
6.1696 3.8221 3.1873 Ce
5.0741 0.9004 5.2790 Ce
2.4265 4.9428 3.1892 Ce
1.3309 2.0212 5.2809 Ce



Referenced to the most stable arrangement, the calculated values in eV/atom are arrangement one 0.125; arrangement two 0.000.



Arrangement one

Ce2LuIr (PBE, relaxed); space-group type = P4/mmm
1.0
-3.1379 -0.0531 2.0493
-1.6489 -2.1610 -2.5807
2.3265 -5.8483 3.4106
Lu Ir Ce
1 1 2
Cartesian
-1.2301 -4.0312 1.4396 Lu
-2.3934 -1.1071 -0.2657 Ir
0.4590 -1.1539 0.6729 Ce
1.8675 -4.6944 2.7377 Ce



Arrangement two

Ce2LuIr (PBE, relaxed); space-group type = R-3m
1.0
-0.2363 3.1604 -1.8836
-1.1984 -0.0172 -3.4864
-9.9904 2.2817 1.4735
Ce Lu Ir
2 1 1
Cartesian
-4.5066 3.5416 -4.3161 Ce
-6.9185 1.8832 0.4196 Ce
0.0000 0.0000 0.0000 Lu
-5.7125 2.7124 -1.9483 Ir



Referenced to the most stable arrangement, the calculated values in eV/atom are arrangement one 0.000; arrangement two 0.248.



Arrangement one

CeMgIrRh (PBE, relaxed); space-group type = F-43m
1.0
4.7094 0.0000 0.0000
2.3547 4.0785 0.0000
2.3547 1.3595 3.8452
Ce Ir Mg Rh
1 1 1 1
Cartesian
7.0642 4.0785 2.8839 Ce
0.0000 0.0000 0.0000 Ir
2.3547 1.3595 0.9613 Mg
4.7094 2.7190 1.9226 Rh



Arrangement two

CeMgIrRh (PBE, relaxed); space-group type = Pmmm
1.0
-3.4357 0.8899 -0.6667
-1.2264 -1.7623 3.9679
0.6429 3.9429 1.9499
Mg Ce Rh Ir
1 1 1 1
Cartesian
-2.3311 -0.4362 1.6506 Mg
-1.3964 2.4164 0.6416 Ce
-0.2917 1.0903 2.9589 Rh
0.0000 0.0000 0.0000 Ir



Referenced to the most stable arrangement, the calculated values in eV/atom are arrangement one 0.057; arrangement two 0.000.



Arrangement one

Ce2IrN (PBE, relaxed); space-group type = Pna2_1
1.0
5.6584 0.0000 0.0000
0.0000 5.6752 0.0000
0.0000 0.0000 10.2950
Ir Ce N
4 8 4
Cartesian
3.1825 2.8688 9.0046 Ir
0.3533 5.6439 3.8571 Ir
0.3533 2.8063 1.2904 Ir
3.1825 0.0312 6.4379 Ir
0.3529 5.4394 6.6604 Ce
3.1821 0.2357 3.6346 Ce
0.5760 2.8018 4.0888 Ce
3.4052 0.0358 9.2363 Ce
0.5760 5.6394 1.0587 Ce
0.3529 2.6019 8.7821 Ce
3.4052 2.8733 6.2063 Ce
3.1821 3.0733 1.5129 Ce
2.9604 5.4462 1.2863 N
2.9604 2.6087 3.8612 N
0.1312 3.0665 6.4338 N
0.1312 0.2289 9.0087 N



Arrangement two

Ce2IrN (PBE, relaxed); space-group type = P4/mmm
1.0
-0.7397 -1.3637 2.6678
2.9919 -0.1906 0.7321
-0.3678 6.3998 3.1695
Ce Ir N
2 1 1
Cartesian
-0.1072 1.8646 0.9234 Ce
-0.2607 4.5353 2.2460 Ce
1.1261 -0.7772 1.6999 Ir
0.9422 2.4228 3.2847 N



Referenced to the most stable arrangement, the calculated values in eV/atom are arrangement one 0.000; arrangement two 0.238.



Arrangement one

CeNdIr2 (PBE, relaxed); space-group type = Fm-3m
1.0
4.9840 0.0000 0.0000
2.4920 4.3163 0.0000
2.4920 1.4388 4.0695
Ir Nd Ce
2 1 1
Cartesian
7.4761 4.3163 3.0521 Ir
2.4920 1.4388 1.0174 Ir
4.9840 2.8775 2.0347 Nd
0.0000 0.0000 0.0000 Ce



Arrangement two

CeNdIr2 (PBE, relaxed); space-group type = Amm2
1.0
3.6861 0.0000 -1.3424
0.0000 4.1880 0.0000
0.0518 0.0000 5.8731
Nd Ir Ce
1 2 1
Cartesian
1.6452 2.0940 1.8771 Nd
3.7020 0.0000 1.7928 Ir
0.6848 2.0940 4.9671 Ir
2.7065 0.0000 4.7843 Ce



Referenced to the most stable arrangement, the calculated values in eV/atom are arrangement one 0.108; arrangement two 0.000.



Arrangement one

CeNdIr2 (PBE, relaxed); space-group type = P2_1/c
1.0
7.3865 0.0000 -0.0027
0.0000 5.8134 0.0000
0.0105 0.0000 8.4757
Ir Nd Ce
8 4 4
Cartesian
6.9806 0.9995 3.2849 Ir
0.4164 4.8139 5.1881 Ir
3.2873 1.9072 3.2863 Ir
4.0413 3.7632 1.1855 Ir
0.3481 4.9569 1.1869 Ir
4.1096 3.9062 5.1868 Ir
7.0489 0.8565 7.2862 Ir
3.3557 2.0502 7.2875 Ir
5.0060 0.8144 1.0448 Nd
1.3127 2.0923 1.0461 Nd
6.0843 3.7211 7.4269 Nd
2.3910 4.9990 7.4282 Nd
1.3179 2.0408 5.3029 Ce
6.0791 3.7726 3.1702 Ce
2.3858 4.9475 3.1715 Ce
5.0112 0.8659 5.3015 Ce



Arrangement two

CeNdIr2 (PBE, relaxed); space-group type = P4/mmm
1.0
3.5096 0.0000 0.0000
0.0000 3.5096 0.0000
0.0000 0.0000 7.1064
Ce Ir Nd
1 2 1
Cartesian
1.7548 1.7548 0.0000 Ce
0.0000 0.0000 5.5014 Ir
0.0000 0.0000 1.6050 Ir
1.7548 1.7548 3.5532 Nd



Arrangement three

CeNdIr2 (PBE, relaxed); space-group type = R-3m
1.0
-2.4948 -2.6311 -1.8452
0.1676 -3.9569 0.9306
-5.3553 -1.2507 4.5390
Ir Ce Nd
2 1 1
Cartesian
-5.8480 -5.8613 2.8095 Ir
-1.8345 -1.9775 0.8150 Ir
0.0000 0.0000 0.0000 Ce
-3.8412 -3.9194 1.8122 Nd



Referenced to the most stable arrangement, the calculated values in eV/atom are arrangement one 0.000; arrangement two 0.077; arrangement three 0.146.



Arrangement one

CeNd2Ir2 (PBE, relaxed); space-group type = C2/c
1.0
6.4781 0.4297 0.9044
3.2308 5.6314 0.9044
0.1752 0.1094 7.4598
Nd Ir Ce
4 4 2
Cartesian
6.1751 4.6767 7.5366 Nd
6.8257 3.4395 3.8067 Nd
3.7090 1.4938 1.7321 Nd
3.0584 2.7310 5.4620 Nd
7.8988 5.7499 5.4231 Ir
1.3373 1.6537 7.5755 Ir
1.9854 0.4206 3.8455 Ir
8.5468 4.5168 1.6932 Ir
6.3498 0.9278 6.4993 Ce
3.5343 5.2427 2.7694 Ce



Arrangement two

CeNd2Ir2 (PBE, relaxed); space-group type = C2/m
1.0
4.0288 0.0000 0.0000
2.0144 6.4260 -0.1952
2.0144 0.6238 9.8029
Nd Ir Ce
4 4 2
Cartesian
2.0144 1.6896 0.7093 Nd
6.0432 5.3602 8.8984 Nd
4.0288 2.9469 6.6946 Nd
4.0288 4.1029 2.9131 Nd
2.0144 2.2044 4.2211 Ir
6.0432 4.8454 5.3866 Ir
2.0144 5.6115 0.9958 Ir
6.0432 1.4383 8.6119 Ir
4.0288 6.5473 6.1204 Ce
4.0288 0.5025 3.4873 Ce



Referenced to the most stable arrangement, the calculated values in eV/atom are arrangement one 0.000; arrangement two 0.026.